Below is a relaxed structure of Tm3Al2Ga4, with properties calculated at the PBE level.

Cell: 4.424 5.652 8.436 Å, 111.37 90.00 113.04°
Atoms (fractional coordinates):
Al 0.382 0.765 0.716
Tm 0.661 0.322 0.671
Ga 0.291 0.582 0.957
Al 0.618 0.235 0.284
Tm 0.000 0.000 0.000
Ga 0.709 0.418 0.043
Ga 0.929 0.859 0.596
Ga 0.071 0.141 0.404
Tm 0.339 0.678 0.329

## Properties
* space group: C2/m (12)
* total energy: -38.03 eV/f.u.
* formation energy: -558 meV per atom
* total magnetic moment: 0.0 μB/f.u.


Below is a relaxed structure of FeAgAsSe2, with properties calculated at the PBE level.

Cell: 5.097 5.097 4.880 Å, 90.00 90.00 90.00°
Each line ends with the local moment (μB).
Atoms (fractional coordinates):
Se 0.500 0.000 0.000  0.00
As 0.000 0.000 0.500  -0.06
Ag 0.000 0.000 0.000  -0.01
Se 0.000 0.500 0.000  0.00
Fe 0.500 0.500 0.500  3.35

## Properties
* space group: P4/mmm (123)
* total energy: -17.46 eV/f.u.
* total magnetic moment: 3.4 μB/f.u.